Pu2MnNi | the Alexandria database | PBE | relaxed; formation energy from the elements = 0.45 eV per atom; calculated total energy = -0.76846 Ry/atom; total moment = 1.3 μB per formula unit
1.0
-2.304 -0.404 -0.874
0.403 -2.463 0.078
-3.268 -0.257 8.737
Pu Mn Ni
2 1 1
direct
0.000 0.000 0.754
0.000 0.000 0.246
0.500 0.500 0.500
0.500 0.500 0.000